1.
Computed, not measured: an optimized crystal structure of Li3AcRu4O12 at the PBE level of DFT.

It has space group Im-3 (No. 204), with a = 7.5967 Å, b = 7.5967 Å, c = 7.5967 Å, α = 90.00°, β = 90.00° and γ = 90.00°. The asymmetric unit holds Li at (0.0000, 0.0000, 0.5000), Ac at (0.0000, 0.0000, 0.0000), Ru at (0.2500, 0.2500, 0.2500) and O at (0.0000, 0.1859, 0.2984).

The calculation puts the energy relative to the elements, uncorrected at -1.48 eV/atom.

---

2.
Computed, not measured: an optimized crystal structure of Ca2ScBr at the PBE level of DFT.

It has space group Cmm2 (No. 35), with a = 3.8871 Å, b = 6.1642 Å, c = 10.4058 Å, α = 90.00°, β = 90.00° and γ = 90.00°. The asymmetric unit holds Ca at (0.0000, 0.0000, 0.0000), Ca at (0.0000, 0.5000, 0.3029), Sc at (0.0000, 0.5000, 0.7394) and Br at (0.0000, 0.0000, 0.5330).

The calculation puts the energy relative to the elements, uncorrected at -0.41 eV/atom. Its energy above the most stable polymorph in this dataset is 157 meV/atom.

---

3.
Computed, not measured: an optimized crystal structure of TmBCl at the PBE level of DFT.

It has space group C2/m (No. 12), with a = 5.9547 Å, b = 3.4381 Å, c = 11.0363 Å, α = 90.00°, β = 91.56° and γ = 90.00°. The asymmetric unit holds Tm at (0.0081, 0.0000, 0.1611), B at (0.1663, 0.5000, 0.9926) and Cl at (0.1830, 0.5000, 0.3240).

The calculation puts the energy relative to the elements, uncorrected at -1.32 eV/atom.

---

4.
Computed, not measured: an optimized crystal structure of TmCdGaSn at the PBE level of DFT.

It has space group Pmmm (No. 47), with a = 4.3386 Å, b = 4.5218 Å, c = 4.5874 Å, α = 90.00°, β = 90.00° and γ = 90.00°. The asymmetric unit holds Tm at (0.0000, 0.0000, 0.0000), Cd at (0.0000, 0.5000, 0.5000), Ga at (0.5000, 0.5000, 0.0000) and Sn at (0.5000, 0.0000, 0.5000).

For the calculated formation energy, the calculation gives -0.40 eV per atom.

---

5.
Computed, not measured: an optimized crystal structure of SrCePu4N8 at the PBE level of DFT.

It has space group R3m (No. 160, hexagonal axes), with a = 6.9006 Å, b = 6.9006 Å, c = 17.0939 Å, α = 90.00°, β = 90.00° and γ = 120.00°. The asymmetric unit holds Sr at (0.0000, 0.0000, 0.0000), Ce at (0.0000, 0.0000, 0.6237), Pu at (0.0000, 0.0000, 0.2450), Pu at (0.1678, 0.3356, 0.4562), N at (0.0000, 0.0000, 0.3854), N at (0.0000, 0.0000, 0.8495), N at (0.0573, 0.5287, 0.3874) and N at (0.1807, 0.3615, 0.1974).

The calculation puts the energy relative to the elements, uncorrected at -1.07 eV/atom.

---

6.
Computed, not measured: an optimized crystal structure of NaSnHg at the PBE level of DFT.

It has space group I2_12_12_1 (No. 24), with a = 6.2830 Å, b = 6.4747 Å, c = 8.1027 Å, α = 90.00°, β = 90.00° and γ = 90.00°. The asymmetric unit holds Na at (0.0000, 0.2500, 0.1277), Sn at (0.0536, 0.5000, 0.7500) and Hg at (0.2500, 0.1626, 0.5000).

For the calculated formation energy, the calculation gives -0.12 eV per atom. Its energy above the most stable polymorph in this dataset is 58 meV/atom.